(1)
Below is LaAu4 after structural relaxation, with properties calculated at the PBEsol level.

Geometry as extended XYZ:
```
5
Lattice="-3.2418 3.2418 3.2418 3.2418 -3.2418 3.2418 3.2418 3.2418 -3.2418" Properties=species:S:1:pos:R:3 pbc="T T T"
La 0.0000 0.0000 0.0000
Au 1.6209 1.6209 -1.6209
Au 1.6209 -1.6209 1.6209
Au -1.6209 1.6209 1.6209
Au 1.6209 1.6209 1.6209
```

Total moment   0.0 μB per formula unit
Energy of formation from the pure elements   0.403 eV/atom
Space-group type   No. 229



(2)
Below is La4Au after structural relaxation, with properties calculated at the PBEsol level.

Geometry as extended XYZ:
```
5
Lattice="-1.8699 1.8699 10.8128 1.8699 -1.8699 10.8128 1.8699 1.8699 -10.8128" Properties=species:S:1:pos:R:3 pbc="T T T"
La 0.0000 0.0000 1.7692
La 0.0000 0.0000 6.6155
La 0.0000 0.0000 15.0101
La 0.0000 0.0000 19.8564
Au 0.0000 0.0000 10.8128
```

Total moment   0.0 μB per formula unit
Excess energy over the best structure of this formula in the dataset   0 meV/atom
Energy of formation from the pure elements   -0.293 eV/atom
Space-group type   No. 139



(3)
Below is La3Au5 after structural relaxation, with properties calculated at the PBEsol level.

Geometry as extended XYZ:
```
8
Lattice="3.6497 -5.1118 0.0000 3.6497 5.1118 0.0000 0.0000 0.0000 5.1335" Properties=species:S:1:pos:R:3 pbc="T T T"
La 0.0000 0.0000 0.0000
La 3.6497 2.0620 2.5668
La 3.6497 -2.0620 2.5668
Au 1.8248 2.5559 0.0000
Au 1.4789 0.0000 2.5668
Au 1.8248 -2.5559 0.0000
Au 3.6497 0.0000 0.0000
Au 5.8205 0.0000 2.5668
```

Total moment   0.0 μB per formula unit
Energy of formation from the pure elements   -0.663 eV/atom
Space-group type   No. 65



(4)
Below is LaAu2 after structural relaxation, with properties calculated at the PBEsol level.

Geometry as extended XYZ:
```
6
Lattice="-2.1158 2.9815 5.5296 2.1158 -2.9815 5.5296 2.1158 2.9815 -5.5296" Properties=species:S:1:pos:R:3 pbc="T T T"
La 0.0000 0.0000 1.9222
La 0.0000 0.0000 9.1371
Au 2.1158 1.4934 0.0000
Au 2.1158 0.0000 4.1200
Au 0.0000 2.9815 1.4097
Au 0.0000 1.4881 5.5296
```

Total moment   0.0 μB per formula unit
Energy of formation from the pure elements   -0.696 eV/atom
Space-group type   No. 71



(5)
Below is La2Au3 after structural relaxation, with properties calculated at the PBEsol level.

Geometry as extended XYZ:
```
5
Lattice="2.3532 1.3586 6.5835 -2.3532 1.3586 6.5835 0.0000 -2.7173 6.5835" Properties=species:S:1:pos:R:3 pbc="T T T"
La 0.0000 0.0000 1.7154
La 0.0000 0.0000 18.0350
Au 0.0000 0.0000 6.6159
Au 0.0000 0.0000 9.8752
Au 0.0000 0.0000 13.1346
```

Total moment   0.0 μB per formula unit
Excess energy over the best structure of this formula in the dataset   14 meV/atom
Energy of formation from the pure elements   -0.732 eV/atom
Space-group type   No. 166



(6)
Below is LaAu3 after structural relaxation, with properties calculated at the PBEsol level.

Geometry as extended XYZ:
```
8
Lattice="3.2470 -5.5536 0.0000 3.2470 5.5536 0.0000 0.0000 0.0000 4.7590" Properties=species:S:1:pos:R:3 pbc="T T T"
La 3.2470 3.7243 3.5692
La 3.2470 -3.7243 1.1897
Au 1.7850 0.8503 3.5692
Au 3.2470 1.6964 1.1897
Au 1.7850 -0.8503 1.1897
Au 4.7090 0.8503 3.5692
Au 3.2470 -1.6964 3.5692
Au 4.7090 -0.8503 1.1897
```

Total moment   0.0 μB per formula unit
Energy of formation from the pure elements   -0.645 eV/atom
Space-group type   No. 63